Entry 1:
# DyMn4Al12 PBE-GGA optimized geometry
# M_tot, μB/cell: 0.8
# E, eV per atom: -4.881
# Crystal system: cubic
# ΔE_f, meV per atom: 189
# Density, g/cm³: 3.11
data_DyMn4Al12
_chemical_formula_sum 'Dy1 Mn4 Al12'
_space_group_name_H-M_alt 'P 1'
_space_group_IT_number 1
_cell_length_a 7.8802
_cell_length_b 7.8802
_cell_length_c 7.8802
_cell_angle_alpha 109.47
_cell_angle_beta 109.47
_cell_angle_gamma 109.47
loop_
_space_group_symop_operation_xyz
'x,y,z'
loop_
_atom_site_label
_atom_site_type_symbol
_atom_site_fract_x
_atom_site_fract_y
_atom_site_fract_z
_atom_site_occupancy
Dy1 Dy 0.0000 0.0000 0.0000 1
Mn1 Mn 0.0000 0.0000 0.5000 1
Mn2 Mn 0.0000 0.5000 0.0000 1
Mn3 Mn 0.5000 0.0000 0.0000 1
Mn4 Mn 0.5000 0.5000 0.5000 1
Al1 Al 0.0000 0.2658 0.7342 1
Al2 Al 0.0000 0.7342 0.2658 1
Al3 Al 0.2658 0.0000 0.7342 1
Al4 Al 0.2658 0.2658 0.5316 1
Al5 Al 0.2658 0.5316 0.2658 1
Al6 Al 0.2658 0.7342 0.0000 1
Al7 Al 0.4684 0.7342 0.7342 1
Al8 Al 0.5316 0.2658 0.2658 1
Al9 Al 0.7342 0.0000 0.2658 1
Al10 Al 0.7342 0.2658 0.0000 1
Al11 Al 0.7342 0.4684 0.7342 1
Al12 Al 0.7342 0.7342 0.4684 1

Entry 2:
# NaIr2RhN PBE-GGA optimized geometry
# E_form (uncorrected), meV per atom: 2300
# M_tot, μB/cell: 3.1
# E, eV per atom: -4.643
# Crystal system: tetragonal
# Density, g/cm³: 7.04
data_NaIr2RhN
_chemical_formula_sum 'Na1 Ir2 Rh1 N1'
_space_group_name_H-M_alt 'P 1'
_space_group_IT_number 1
_cell_length_a 4.6797
_cell_length_b 4.6797
_cell_length_c 5.6443
_cell_angle_alpha 90.00
_cell_angle_beta 90.00
_cell_angle_gamma 90.00
loop_
_space_group_symop_operation_xyz
'x,y,z'
loop_
_atom_site_label
_atom_site_type_symbol
_atom_site_fract_x
_atom_site_fract_y
_atom_site_fract_z
_atom_site_occupancy
Na1 Na 0.0000 0.0000 0.0000 1
Ir1 Ir 0.0000 0.5000 0.5000 1
Ir2 Ir 0.5000 0.0000 0.5000 1
Rh1 Rh 0.0000 0.0000 0.5000 1
N1 N 0.5000 0.5000 0.0000 1

Entry 3:
# CePm4Y3S8 PBE-GGA optimized geometry
# E_form (uncorrected), meV per atom: -2025
# M_tot, μB/cell: 0.0
# E, eV per atom: -6.859
# Crystal system: trigonal
# Density, g/cm³: 5.75
data_CePm4Y3S8
_chemical_formula_sum 'Ce1 Pm4 Y3 S8'
_space_group_name_H-M_alt 'P 1'
_space_group_IT_number 1
_cell_length_a 7.9814
_cell_length_b 7.9814
_cell_length_c 7.9814
_cell_angle_alpha 59.92
_cell_angle_beta 59.92
_cell_angle_gamma 59.92
loop_
_space_group_symop_operation_xyz
'x,y,z'
loop_
_atom_site_label
_atom_site_type_symbol
_atom_site_fract_x
_atom_site_fract_y
_atom_site_fract_z
_atom_site_occupancy
Ce1 Ce 0.0000 0.0000 0.0000 1
Pm1 Pm 0.0000 0.0000 0.5000 1
Pm2 Pm 0.0000 0.5000 0.0000 1
Pm3 Pm 0.5000 0.0000 0.0000 1
Pm4 Pm 0.5000 0.5000 0.5000 1
Y1 Y 0.0000 0.5000 0.5000 1
Y2 Y 0.5000 0.0000 0.5000 1
Y3 Y 0.5000 0.5000 0.0000 1
S1 S 0.2490 0.2490 0.7436 1
S2 S 0.2490 0.7436 0.2490 1
S3 S 0.2537 0.2537 0.2537 1
S4 S 0.2564 0.7510 0.7510 1
S5 S 0.7436 0.2490 0.2490 1
S6 S 0.7463 0.7463 0.7463 1
S7 S 0.7510 0.2564 0.7510 1
S8 S 0.7510 0.7510 0.2564 1

Entry 4:
# MgAsRu2 PBE-GGA optimized geometry
# M_tot, μB/cell: 1.5
# E, eV per atom: -5.903
# Crystal system: orthorhombic
# ΔE_f, meV per atom: 296
# Density, g/cm³: 7.80
data_MgAsRu2
_chemical_formula_sum 'Mg2 As2 Ru4'
_space_group_name_H-M_alt 'P 1'
_space_group_IT_number 1
_cell_length_a 3.0278
_cell_length_b 4.8312
_cell_length_c 8.7751
_cell_angle_alpha 90.00
_cell_angle_beta 90.00
_cell_angle_gamma 90.00
loop_
_space_group_symop_operation_xyz
'x,y,z'
loop_
_atom_site_label
_atom_site_type_symbol
_atom_site_fract_x
_atom_site_fract_y
_atom_site_fract_z
_atom_site_occupancy
Mg1 Mg 0.0000 0.0000 0.0000 1
Mg2 Mg 0.5000 0.5000 0.0000 1
As1 As 0.0000 0.5000 0.7181 1
As2 As 0.5000 0.0000 0.7181 1
Ru1 Ru 0.0000 0.0000 0.4910 1
Ru2 Ru 0.0000 0.5000 0.2462 1
Ru3 Ru 0.5000 0.0000 0.2462 1
Ru4 Ru 0.5000 0.5000 0.4910 1

Entry 5:
# ZnGa2Pd2 PBE-GGA optimized geometry
# M_tot, μB/cell: 0.0
# E, eV per atom: -3.866
# Crystal system: tetragonal
# ΔE_f, meV per atom: -323
# Density, g/cm³: 8.30
data_ZnGa2Pd2
_chemical_formula_sum 'Zn2 Ga4 Pd4'
_space_group_name_H-M_alt 'P 1'
_space_group_IT_number 1
_cell_length_a 3.6306
_cell_length_b 3.6306
_cell_length_c 12.6843
_cell_angle_alpha 90.00
_cell_angle_beta 90.00
_cell_angle_gamma 90.00
loop_
_space_group_symop_operation_xyz
'x,y,z'
loop_
_atom_site_label
_atom_site_type_symbol
_atom_site_fract_x
_atom_site_fract_y
_atom_site_fract_z
_atom_site_occupancy
Zn1 Zn 0.0000 0.0000 0.0000 1
Zn2 Zn 0.5000 0.5000 0.5000 1
Ga1 Ga 0.0000 0.5000 0.2500 1
Ga2 Ga 0.0000 0.5000 0.7500 1
Ga3 Ga 0.5000 0.0000 0.2500 1
Ga4 Ga 0.5000 0.0000 0.7500 1
Pd1 Pd 0.0000 0.0000 0.3943 1
Pd2 Pd 0.0000 0.0000 0.6057 1
Pd3 Pd 0.5000 0.5000 0.1057 1
Pd4 Pd 0.5000 0.5000 0.8943 1

Entry 6:
# BaNaGaBr2 PBE-GGA optimized geometry
# E_form (uncorrected), meV per atom: -664
# M_tot, μB/cell: 0.0
# E, eV per atom: -2.587
# Crystal system: tetragonal
# Density, g/cm³: 3.46
data_BaNaGaBr2
_chemical_formula_sum 'Ba1 Na1 Ga1 Br2'
_space_group_name_H-M_alt 'P 1'
_space_group_IT_number 1
_cell_length_a 5.8300
_cell_length_b 5.8300
_cell_length_c 5.5019
_cell_angle_alpha 90.00
_cell_angle_beta 90.00
_cell_angle_gamma 90.00
loop_
_space_group_symop_operation_xyz
'x,y,z'
loop_
_atom_site_label
_atom_site_type_symbol
_atom_site_fract_x
_atom_site_fract_y
_atom_site_fract_z
_atom_site_occupancy
Ba1 Ba 0.0000 0.0000 0.0000 1
Na1 Na 0.5000 0.5000 0.0000 1
Ga1 Ga 0.5000 0.5000 0.5000 1
Br1 Br 0.0000 0.5000 0.5000 1
Br2 Br 0.5000 0.0000 0.5000 1

Entry 7:
# La3InCo PBE-GGA optimized geometry
# M_tot, μB/cell: 0.0
# E, eV per atom: -5.172
# Crystal system: monoclinic
# ΔE_f, meV per atom: -247
# Density, g/cm³: 6.94
data_La3InCo
_chemical_formula_sum 'La6 In2 Co2'
_space_group_name_H-M_alt 'P 1'
_space_group_IT_number 1
_cell_length_a 11.7437
_cell_length_b 11.7437
_cell_length_c 5.1544
_cell_angle_alpha 102.62
_cell_angle_beta 102.62
_cell_angle_gamma 24.07
loop_
_space_group_symop_operation_xyz
'x,y,z'
loop_
_atom_site_label
_atom_site_type_symbol
_atom_site_fract_x
_atom_site_fract_y
_atom_site_fract_z
_atom_site_occupancy
La1 La 0.0000 0.0000 0.0000 1
La2 La 0.1797 0.1797 0.6814 1
La3 La 0.5241 0.5241 0.5247 1
La4 La 0.6320 0.6320 0.1337 1
La5 La 0.7869 0.7869 0.7893 1
La6 La 0.8933 0.8933 0.3944 1
In1 In 0.2818 0.2818 0.2838 1
In2 In 0.3954 0.3954 0.8968 1
Co1 Co 0.0554 0.0554 0.5537 1
Co2 Co 0.7357 0.7357 0.2396 1

Entry 8:
# LiY2PbO6 PBE-GGA optimized geometry
# E_form (uncorrected), meV per atom: -2169
# M_tot, μB/cell: 1.1
# E, eV per atom: -6.999
# Crystal system: trigonal
# Density, g/cm³: 5.66
data_LiY2PbO6
_chemical_formula_sum 'Li1 Y2 Pb1 O6'
_space_group_name_H-M_alt 'P 1'
_space_group_IT_number 1
_cell_length_a 6.0567
_cell_length_b 6.0567
_cell_length_c 6.0567
_cell_angle_alpha 56.15
_cell_angle_beta 56.15
_cell_angle_gamma 56.15
loop_
_space_group_symop_operation_xyz
'x,y,z'
loop_
_atom_site_label
_atom_site_type_symbol
_atom_site_fract_x
_atom_site_fract_y
_atom_site_fract_z
_atom_site_occupancy
Li1 Li 0.0000 0.0000 0.0000 1
Y1 Y 0.2231 0.2231 0.2231 1
Y2 Y 0.7244 0.7244 0.7244 1
Pb1 Pb 0.5142 0.5142 0.5142 1
O1 O 0.1340 0.4135 0.8092 1
O2 O 0.3193 0.9038 0.6257 1
O3 O 0.4135 0.8092 0.1340 1
O4 O 0.6257 0.3193 0.9038 1
O5 O 0.8092 0.1340 0.4135 1
O6 O 0.9038 0.6257 0.3193 1